i) Here is a geometry-optimized Pm2SiBr2 structure from Alexandria via LeMat-Bulk. Energies are from PBE.

Unit cell a=11.0969 b=8.3448 c=7.4245 alpha=90.00 beta=109.50 gamma=90.00
Last column: nearest neighbours and their distance in Å.
Space group P2_1/c (No. 14)
Symmetry-distinct sites (fractional):
Pm1 0.0069 0.1219 0.2729 (multiplicity 4)  3 Si 2.90-2.97, 3 Br 3.01-3.13
Pm2 0.3242 0.1302 0.0697 (multiplicity 4)  2 Si 2.89-2.92, 3 Br 2.96-3.05
Si1 0.1615 0.1370 0.6733 (multiplicity 4)  5 Pm 2.89-2.97
Br1 0.1664 0.6260 0.6578 (multiplicity 4)  4 Pm 2.97-3.13
Br2 0.4733 0.7114 0.5930 (multiplicity 4)  3 Pm 2.96-3.27

=====

ii) Here is a geometry-optimized Pm2SiBr2 structure from Alexandria via LeMat-Bulk. Energies are from PBE.

Unit cell a=4.2424 b=4.2424 c=32.3357 alpha=90.00 beta=90.00 gamma=120.00
Last column: nearest neighbours and their distance in Å.
Space group R-3m (No. 166, hexagonal axes)
Symmetry-distinct sites (fractional):
Pm1 0.0000 0.0000 0.1155 (multiplicity 6)  3 Si 2.96, 3 Br 3.03
Si1 0.0000 0.0000 0.5000 (multiplicity 3)  6 Pm 2.96
Br1 0.0000 0.0000 0.2731 (multiplicity 6)  3 Pm 3.03

=====

Which structure loses on stability? i) does.

=====

i) Here is a geometry-optimized PmSmBr4 structure from Alexandria via LeMat-Bulk. Energies are from PBE.

Unit cell a=8.0621 b=8.1455 c=11.4841 alpha=90.00 beta=90.00 gamma=90.00
Last column: nearest neighbours and their distance in Å.
Space group Imma (No. 74)
Symmetry-distinct sites (fractional):
Pm1 0.2500 0.2500 0.2500 (multiplicity 4)  6 Br 2.97
Sm1 0.0000 0.0000 0.0000 (multiplicity 4)  6 Br 2.95-2.96
Br1 0.0000 0.0180 0.7431 (multiplicity 8)  1 Sm 2.95, 2 Pm 2.97
Br2 0.2345 0.2500 0.5087 (multiplicity 8)  2 Sm 2.96, 1 Pm 2.97

=====

ii) Here is a geometry-optimized PmSmBr4 structure from Alexandria via LeMat-Bulk. Energies are from PBE.

Unit cell a=16.5486 b=3.9749 c=6.8662 alpha=90.00 beta=114.19 gamma=90.00
Last column: nearest neighbours and their distance in Å.
Space group C2/m (No. 12)
Symmetry-distinct sites (fractional):
Pm1 0.0000 0.0000 0.0000 (multiplicity 2)  6 Br 2.96-2.97
Sm1 0.0000 0.5000 0.5000 (multiplicity 2)  6 Br 2.95
Br1 0.1235 0.0000 0.4576 (multiplicity 4)  2 Sm 2.95, 1 Pm 2.96
Br2 0.1242 0.5000 0.9542 (multiplicity 4)  1 Sm 2.95, 2 Pm 2.97

=====

Which structure loses on stability? i) does.